{"formula": "ReTeI2", "functional": "GGA-PBEsol", "state": "relaxed", "lattice": [[9.705, 0.000, 0.000], [0.000, 9.705, 0.000], [0.000, 0.000, 5.125]], "species": ["Re", "Re", "Re", "Re", "Te", "Te", "Te", "Te", "I", "I", "I", "I", "I", "I", "I", "I"], "fractional_positions": [[0.000, 0.000, 0.000], [0.000, 0.500, 0.250], [0.500, 0.000, 0.750], [0.500, 0.500, 0.500], [0.000, 0.000, 0.500], [0.000, 0.500, 0.750], [0.500, 0.000, 0.250], [0.500, 0.500, 0.000], [0.116, 0.250, 0.125], [0.250, 0.616, 0.375], [0.250, 0.884, 0.875], [0.384, 0.250, 0.625], [0.616, 0.750, 0.625], [0.750, 0.116, 0.875], [0.750, 0.384, 0.375], [0.884, 0.750, 0.125]], "space_group": "I-42d, No. 122", "magmom_total_mub_per_cell": 0.00, "e_form_raw_kj_per_mol_atoms": 51.5, "crystal_system": "tetragonal", "rho_g_cm3": 7.81}

{"formula": "ZnCuAu", "functional": "GGA-PBEsol", "state": "relaxed", "lattice": [[3.092, 0.000, 0.000], [0.000, 3.092, 0.000], [0.000, 0.000, 8.738]], "species": ["Zn", "Zn", "Cu", "Cu", "Au", "Au"], "fractional_positions": [[0.000, 0.000, 0.000], [0.500, 0.500, 0.500], [0.000, 0.000, 0.356], [0.500, 0.500, 0.856], [0.000, 0.000, 0.678], [0.500, 0.500, 0.178]], "space_group": "I4mm, No. 107", "formation_enthalpy_0k_ev_per_atom": -0.139, "magmom_total_mub_per_cell": 0.00, "de_polymorph_mev_per_atom": 3, "crystal_system": "tetragonal", "rho_g_cm3": 12.96}